Entry 1:
DFT (GGA-PBE) results for a relaxed structure of Zn2TeOs.

```
data_Zn2TeOs
_cell_length_a 4.896
_cell_length_b 4.896
_cell_length_c 4.896
_cell_angle_alpha 129.81
_cell_angle_beta 129.81
_cell_angle_gamma 73.70
_symmetry_space_group_name_H-M 'P 1'
_symmetry_Int_Tables_number 1
loop_
_symmetry_equiv_pos_as_xyz
'x,y,z'
loop_
_atom_site_label
_atom_site_type_symbol
_atom_site_fract_x
_atom_site_fract_y
_atom_site_fract_z
_atom_site_occupancy
Os1 Os 0.500 0.500 0.000 1
Te1 Te 0.750 0.250 0.500 1
Zn1 Zn 0.000 0.000 0.000 1
Zn2 Zn 0.250 0.750 0.500 1
```

Values from the calculation:
Density of states at the Fermi level (states/eV/cell): 1.21
Formation energy without anion corrections (eV per atom): 0.498

Entry 2:
DFT (GGA-PBE) results for a relaxed structure of Re2HgPH.

```
data_Re2HgPH
_cell_length_a 3.939
_cell_length_b 4.445
_cell_length_c 3.939
_cell_angle_alpha 90.00
_cell_angle_beta 90.00
_cell_angle_gamma 90.00
_symmetry_space_group_name_H-M 'P 1'
_symmetry_Int_Tables_number 1
loop_
_symmetry_equiv_pos_as_xyz
'x,y,z'
loop_
_atom_site_label
_atom_site_type_symbol
_atom_site_fract_x
_atom_site_fract_y
_atom_site_fract_z
_atom_site_occupancy
Re1 Re 0.000 0.000 0.500 1
Re2 Re 0.500 0.000 0.000 1
Hg1 Hg 0.500 0.500 0.500 1
H1 H 0.000 0.000 0.000 1
P1 P 0.000 0.500 0.000 1
```

Values from the calculation:
Density of states at the Fermi level (states/eV/cell): 4.64
Raw total energy (eV per atom): -5.74

Entry 3:
DFT (GGA-PBE) results for a relaxed structure of La2ZnOsI.

```
data_La2ZnOsI
_cell_length_a 5.507
_cell_length_b 5.507
_cell_length_c 4.989
_cell_angle_alpha 90.00
_cell_angle_beta 90.00
_cell_angle_gamma 90.00
_symmetry_space_group_name_H-M 'P 1'
_symmetry_Int_Tables_number 1
loop_
_symmetry_equiv_pos_as_xyz
'x,y,z'
loop_
_atom_site_label
_atom_site_type_symbol
_atom_site_fract_x
_atom_site_fract_y
_atom_site_fract_z
_atom_site_occupancy
I1 I 0.500 0.500 0.500 1
Zn1 Zn 0.000 0.000 0.500 1
Os1 Os 0.000 0.000 0.000 1
La1 La 0.000 0.500 0.000 1
La2 La 0.500 0.000 0.000 1
```

Values from the calculation:
Density of states at the Fermi level (states/eV/cell): 2.99
Formation energy without anion corrections (eV per atom): -0.425